The following is a DFT calculation (PBE) of a relaxed K2ErTh2Te6 crystal.

## Properties
Electronic total energy: -54.29 eV per cell
DOS at the Fermi energy: 5.19 states/eV per cell
E_form (uncorrected): -13.8 eV/f.u.

a b c (Å): 7.6972 7.6972 8.9070
angles (deg): 98.42 98.42 119.90
Positions (direct):
1 K 0.1687 0.8313 0.0000
2 K 0.8313 0.1687 0.0000
3 Er 0.0000 0.0000 0.5000
4 Th 0.3328 0.6672 0.5000
5 Th 0.6672 0.3328 0.5000
6 Te 0.0747 0.3989 0.7127
7 Te 0.2564 0.2564 0.2884
8 Te 0.3989 0.0747 0.7127
9 Te 0.6011 0.9253 0.2873
10 Te 0.7436 0.7436 0.7116
11 Te 0.9253 0.6011 0.2873